DFT (PBE) results for a geometry-optimized ScAgAs2Br structure.

Geometry as CIF:
```
data_ScAgAs2Br
_cell_length_a 5.179
_cell_length_b 5.179
_cell_length_c 5.254
_cell_angle_alpha 90.00
_cell_angle_beta 90.00
_cell_angle_gamma 90.00
_space_group_name_H-M_alt 'P 1'
_space_group_IT_number 1
loop_
_space_group_symop_operation_xyz
'x,y,z'
loop_
_atom_site_label
_atom_site_fract_x
_atom_site_fract_y
_atom_site_fract_z
Br1 0.000 0.000 0.500
As1 0.000 0.500 0.000
As2 0.500 0.000 0.000
Ag1 0.500 0.500 0.500
Sc1 0.000 0.000 0.000
```

The calculation puts the raw formation energy at 54 meV/atom. The space group is P4/mmm (123). The total energy comes out at -19.9 eV/cell.

DFT (PBE) results for a geometry-optimized ScAgAsBr2 structure.

Geometry as CIF:
```
data_ScAgAsBr2
_cell_length_a 5.132
_cell_length_b 5.132
_cell_length_c 5.275
_cell_angle_alpha 90.00
_cell_angle_beta 90.00
_cell_angle_gamma 90.00
_space_group_name_H-M_alt 'P 1'
_space_group_IT_number 1
loop_
_space_group_symop_operation_xyz
'x,y,z'
loop_
_atom_site_label
_atom_site_fract_x
_atom_site_fract_y
_atom_site_fract_z
Br1 0.500 0.000 0.000
Br2 0.000 0.500 0.000
As1 0.000 0.000 0.500
Sc1 0.500 0.500 0.500
Ag1 0.000 0.000 0.000
```

The calculation puts the raw formation energy at 167 meV/atom. The space group is P4/mmm (123). The total energy comes out at -16.3 eV/cell.

DFT (PBE) results for a geometry-optimized ScAgAsBr2 structure.

Geometry as CIF:
```
data_ScAgAsBr2
_cell_length_a 5.193
_cell_length_b 5.193
_cell_length_c 5.462
_cell_angle_alpha 90.00
_cell_angle_beta 90.00
_cell_angle_gamma 90.00
_space_group_name_H-M_alt 'P 1'
_space_group_IT_number 1
loop_
_space_group_symop_operation_xyz
'x,y,z'
loop_
_atom_site_label
_atom_site_fract_x
_atom_site_fract_y
_atom_site_fract_z
Br1 0.000 0.500 0.000
Br2 0.500 0.000 0.000
Ag1 0.500 0.500 0.500
As1 0.000 0.000 0.500
Sc1 0.000 0.000 0.000
```

The calculation puts the raw formation energy at -368 meV/atom. The space group is P4/mmm (123). The total energy comes out at -19.0 eV/cell.

DFT (PBE) results for a geometry-optimized ScAgAs2Br structure.

Geometry as CIF:
```
data_ScAgAs2Br
_cell_length_a 4.959
_cell_length_b 4.959
_cell_length_c 5.263
_cell_angle_alpha 90.00
_cell_angle_beta 90.00
_cell_angle_gamma 90.00
_space_group_name_H-M_alt 'P 1'
_space_group_IT_number 1
loop_
_space_group_symop_operation_xyz
'x,y,z'
loop_
_atom_site_label
_atom_site_fract_x
_atom_site_fract_y
_atom_site_fract_z
Ag1 0.000 0.000 0.000
As1 0.000 0.500 0.000
As2 0.500 0.000 0.000
Sc1 0.500 0.500 0.500
Br1 0.000 0.000 0.500
```

The calculation puts the raw formation energy at 361 meV/atom. The space group is P4/mmm (123). The total energy comes out at -18.4 eV/cell.

Table of ΔE to the lowest computed polymorph (meV per atom), in record order: 0, 535, 0, 307